# TlReAg2 PBE relaxed
data_TlReAg2
_space_group_name_H-M_alt 'P 1'
_space_group_IT_number 1
_space_group_name_Hall 'P 1'
_cell_length_a 4.063
_cell_length_b 4.063
_cell_length_c 4.410
_cell_angle_alpha 90.00
_cell_angle_beta 90.00
_cell_angle_gamma 90.00
loop_
_atom_site_label
_atom_site_type_symbol
_atom_site_fract_x
_atom_site_fract_y
_atom_site_fract_z
Tl1 Tl 0.000 0.000 0.000
Re1 Re 0.500 0.500 0.000
Ag1 Ag 0.000 0.500 0.500
Ag2 Ag 0.500 0.000 0.500
# space group: P4/mmm, No. 123
# ΔE to the lowest computed polymorph: 185 meV per atom
# raw total energy: -4.33 eV per atom
# DOS(E_F): 0.605 states/eV/atom
# volume: 18.2 A^3/atom

=====

# TlReAg2 PBE relaxed
data_TlReAg2
_space_group_name_H-M_alt 'P 1'
_space_group_IT_number 1
_space_group_name_Hall 'P 1'
_cell_length_a 5.367
_cell_length_b 5.367
_cell_length_c 2.834
_cell_angle_alpha 90.00
_cell_angle_beta 90.00
_cell_angle_gamma 116.15
loop_
_atom_site_label
_atom_site_type_symbol
_atom_site_fract_x
_atom_site_fract_y
_atom_site_fract_z
Tl1 Tl 0.000 0.000 0.000
Re1 Re 0.500 0.500 0.000
Ag1 Ag 0.000 0.500 0.500
Ag2 Ag 0.500 0.000 0.500
# space group: Cmmm, No. 65
# ΔE to the lowest computed polymorph: 84 meV per atom
# raw total energy: -4.43 eV per atom
# DOS(E_F): 0.281 states/eV/atom
# volume: 18.3 A^3/atom

=====

# TlReAg2 PBE relaxed
data_TlReAg2
_space_group_name_H-M_alt 'P 1'
_space_group_IT_number 1
_space_group_name_Hall 'P 1'
_cell_length_a 5.562
_cell_length_b 5.562
_cell_length_c 5.384
_cell_angle_alpha 115.28
_cell_angle_beta 115.28
_cell_angle_gamma 29.45
loop_
_atom_site_label
_atom_site_type_symbol
_atom_site_fract_x
_atom_site_fract_y
_atom_site_fract_z
Tl1 Tl 0.000 0.000 0.000
Re1 Re 0.251 0.251 0.946
Ag1 Ag 0.517 0.517 0.511
Ag2 Ag 0.764 0.764 0.440
# space group: Cm, No. 8
# ΔE to the lowest computed polymorph: 70 meV per atom
# raw total energy: -4.45 eV per atom
# DOS(E_F): 0.478 states/eV/atom
# volume: 18.4 A^3/atom

=====

# Tl3ReAg PBE relaxed
data_Tl3ReAg
_space_group_name_H-M_alt 'P 1'
_space_group_IT_number 1
_space_group_name_Hall 'P 1'
_cell_length_a 5.343
_cell_length_b 5.343
_cell_length_c 5.343
_cell_angle_alpha 90.00
_cell_angle_beta 90.00
_cell_angle_gamma 90.00
loop_
_atom_site_label
_atom_site_type_symbol
_atom_site_fract_x
_atom_site_fract_y
_atom_site_fract_z
Tl1 Tl 0.000 0.000 0.500
Tl2 Tl 0.000 0.500 0.000
Tl3 Tl 0.500 0.000 0.000
Re1 Re 0.000 0.000 0.000
Ag1 Ag 0.500 0.500 0.500
# space group: Pm-3m, No. 221
# ΔE to the lowest computed polymorph: 0 meV per atom
# raw total energy: -3.64 eV per atom
# DOS(E_F): 0.782 states/eV/atom
# volume: 30.5 A^3/atom

=====

# TlReAg2 PBE relaxed
data_TlReAg2
_space_group_name_H-M_alt 'P 1'
_space_group_IT_number 1
_space_group_name_Hall 'P 1'
_cell_length_a 2.899
_cell_length_b 4.804
_cell_length_c 5.271
_cell_angle_alpha 90.00
_cell_angle_beta 90.00
_cell_angle_gamma 90.00
loop_
_atom_site_label
_atom_site_type_symbol
_atom_site_fract_x
_atom_site_fract_y
_atom_site_fract_z
Tl1 Tl 0.000 0.000 0.000
Re1 Re 0.500 0.500 0.133
Ag1 Ag 0.000 0.500 0.621
Ag2 Ag 0.500 0.000 0.487
# space group: Pmm2, No. 25
# ΔE to the lowest computed polymorph: 119 meV per atom
# raw total energy: -4.40 eV per atom
# DOS(E_F): 0.743 states/eV/atom
# volume: 18.3 A^3/atom

=====

# TlReAg2 PBE relaxed
data_TlReAg2
_space_group_name_H-M_alt 'P 1'
_space_group_IT_number 1
_space_group_name_Hall 'P 1'
_cell_length_a 10.161
_cell_length_b 10.161
_cell_length_c 10.161
_cell_angle_alpha 16.66
_cell_angle_beta 16.66
_cell_angle_gamma 16.66
loop_
_atom_site_label
_atom_site_type_symbol
_atom_site_fract_x
_atom_site_fract_y
_atom_site_fract_z
Tl1 Tl 0.000 0.000 0.000
Re1 Re 0.500 0.500 0.500
Ag1 Ag 0.244 0.244 0.244
Ag2 Ag 0.756 0.756 0.756
# space group: R-3m, No. 166
# ΔE to the lowest computed polymorph: 66 meV per atom
# raw total energy: -4.45 eV per atom
# DOS(E_F): 1.328 states/eV/atom
# volume: 18.8 A^3/atom

=====

# TlReAg2 PBE relaxed
data_TlReAg2
_space_group_name_H-M_alt 'P 1'
_space_group_IT_number 1
_space_group_name_Hall 'P 1'
_cell_length_a 2.852
_cell_length_b 2.852
_cell_length_c 9.966
_cell_angle_alpha 90.00
_cell_angle_beta 90.00
_cell_angle_gamma 112.18
loop_
_atom_site_label
_atom_site_type_symbol
_atom_site_fract_x
_atom_site_fract_y
_atom_site_fract_z
Tl1 Tl 0.000 0.000 0.000
Re1 Re 0.500 0.500 0.255
Ag1 Ag 0.000 0.000 0.488
Ag2 Ag 0.500 0.500 0.726
# space group: Cmm2, No. 35
# ΔE to the lowest computed polymorph: 36 meV per atom
# raw total energy: -4.48 eV per atom
# DOS(E_F): 0.492 states/eV/atom
# volume: 18.8 A^3/atom

=====

# TlReAg2 PBE relaxed
data_TlReAg2
_space_group_name_H-M_alt 'P 1'
_space_group_IT_number 1
_space_group_name_Hall 'P 1'
_cell_length_a 2.832
_cell_length_b 2.832
_cell_length_c 9.595
_cell_angle_alpha 90.00
_cell_angle_beta 90.00
_cell_angle_gamma 90.00
loop_
_atom_site_label
_atom_site_type_symbol
_atom_site_fract_x
_atom_site_fract_y
_atom_site_fract_z
Tl1 Tl 0.000 0.000 0.000
Re1 Re 0.000 0.000 0.500
Ag1 Ag 0.500 0.500 0.281
Ag2 Ag 0.500 0.500 0.719
# space group: P4/mmm, No. 123
# ΔE to the lowest computed polymorph: 30 meV per atom
# raw total energy: -4.49 eV per atom
# DOS(E_F): 0.607 states/eV/atom
# volume: 19.2 A^3/atom

=====

# TlReAg2 PBE relaxed
data_TlReAg2
_space_group_name_H-M_alt 'P 1'
_space_group_IT_number 1
_space_group_name_Hall 'P 1'
_cell_length_a 2.848
_cell_length_b 2.848
_cell_length_c 9.279
_cell_angle_alpha 90.00
_cell_angle_beta 90.00
_cell_angle_gamma 90.00
loop_
_atom_site_label
_atom_site_type_symbol
_atom_site_fract_x
_atom_site_fract_y
_atom_site_fract_z
Tl1 Tl 0.000 0.000 0.000
Re1 Re 0.500 0.500 0.742
Ag1 Ag 0.000 0.000 0.517
Ag2 Ag 0.500 0.500 0.283
# space group: P4mm, No. 99
# ΔE to the lowest computed polymorph: 61 meV per atom
# raw total energy: -4.45 eV per atom
# DOS(E_F): 0.656 states/eV/atom
# volume: 18.8 A^3/atom

=====

# Tl4ReAg PBE relaxed
data_Tl4ReAg
_space_group_name_H-M_alt 'P 1'
_space_group_IT_number 1
_space_group_name_Hall 'P 1'
_cell_length_a 6.181
_cell_length_b 6.181
_cell_length_c 6.181
_cell_angle_alpha 60.00
_cell_angle_beta 60.00
_cell_angle_gamma 60.00
loop_
_atom_site_label
_atom_site_type_symbol
_atom_site_fract_x
_atom_site_fract_y
_atom_site_fract_z
Tl1 Tl 0.125 0.125 0.125
Tl2 Tl 0.125 0.125 0.624
Tl3 Tl 0.125 0.624 0.125
Tl4 Tl 0.624 0.125 0.125
Re1 Re 0.500 0.500 0.500
Ag1 Ag 0.750 0.750 0.750
# space group: F-43m, No. 216
# raw total energy: -2.93 eV per atom
# DOS(E_F): 0.759 states/eV/atom
# volume: 27.8 A^3/atom

=====

# TlReAg2 PBE relaxed
data_TlReAg2
_space_group_name_H-M_alt 'P 1'
_space_group_IT_number 1
_space_group_name_Hall 'P 1'
_cell_length_a 6.075
_cell_length_b 6.075
_cell_length_c 6.075
_cell_angle_alpha 152.56
_cell_angle_beta 132.17
_cell_angle_gamma 56.02
loop_
_atom_site_label
_atom_site_type_symbol
_atom_site_fract_x
_atom_site_fract_y
_atom_site_fract_z
Tl1 Tl 0.000 0.000 0.000
Re1 Re 0.500 0.500 0.000
Ag1 Ag 0.270 0.770 0.500
Ag2 Ag 0.730 0.230 0.500
# space group: Immm, No. 71
# ΔE to the lowest computed polymorph: 90 meV per atom
# raw total energy: -4.43 eV per atom
# DOS(E_F): 0.547 states/eV/atom
# volume: 19.0 A^3/atom

=====

# TlReAg2 PBE relaxed
data_TlReAg2
_space_group_name_H-M_alt 'P 1'
_space_group_IT_number 1
_space_group_name_Hall 'P 1'
_cell_length_a 4.757
_cell_length_b 4.757
_cell_length_c 4.757
_cell_angle_alpha 60.00
_cell_angle_beta 60.00
_cell_angle_gamma 60.00
loop_
_atom_site_label
_atom_site_type_symbol
_atom_site_fract_x
_atom_site_fract_y
_atom_site_fract_z
Tl1 Tl 0.000 0.000 0.000
Re1 Re 0.500 0.500 0.500
Ag1 Ag 0.250 0.250 0.250
Ag2 Ag 0.750 0.750 0.750
# space group: Fm-3m, No. 225
# ΔE to the lowest computed polymorph: 415 meV per atom
# raw total energy: -4.10 eV per atom
# DOS(E_F): 0.679 states/eV/atom
# volume: 19.0 A^3/atom

=====

# TlReAg2 PBE relaxed
data_TlReAg2
_space_group_name_H-M_alt 'P 1'
_space_group_IT_number 1
_space_group_name_Hall 'P 1'
_cell_length_a 5.311
_cell_length_b 5.311
_cell_length_c 5.311
_cell_angle_alpha 134.48
_cell_angle_beta 134.48
_cell_angle_gamma 66.34
loop_
_atom_site_label
_atom_site_type_symbol
_atom_site_fract_x
_atom_site_fract_y
_atom_site_fract_z
Tl1 Tl 0.000 0.000 0.000
Re1 Re 0.500 0.500 0.000
Ag1 Ag 0.250 0.750 0.500
Ag2 Ag 0.750 0.250 0.500
# space group: I4/mmm, No. 139
# ΔE to the lowest computed polymorph: 311 meV per atom
# raw total energy: -4.20 eV per atom
# DOS(E_F): 0.763 states/eV/atom
# volume: 18.8 A^3/atom

=====

# TlReAg2 PBE relaxed
data_TlReAg2
_space_group_name_H-M_alt 'P 1'
_space_group_IT_number 1
_space_group_name_Hall 'P 1'
_cell_length_a 4.724
_cell_length_b 4.724
_cell_length_c 4.724
_cell_angle_alpha 60.00
_cell_angle_beta 60.00
_cell_angle_gamma 60.00
loop_
_atom_site_label
_atom_site_type_symbol
_atom_site_fract_x
_atom_site_fract_y
_atom_site_fract_z
Tl1 Tl 0.000 0.000 0.000
Re1 Re 0.250 0.250 0.250
Ag1 Ag 0.500 0.500 0.500
Ag2 Ag 0.750 0.750 0.750
# space group: F-43m, No. 216
# ΔE to the lowest computed polymorph: 299 meV per atom
# raw total energy: -4.22 eV per atom
# DOS(E_F): 0.712 states/eV/atom
# volume: 18.6 A^3/atom

=====

What are the ΔH_f (0 K) values for these records? In order: 3.2 2.8 2.7 4.2 2.9 2.7 2.6 2.6 2.7 7.2 2.8 4.1 3.7 3.6 eV per formula unit.